(1)
The following is a DFT calculation (PBE) of crystalline TlNiSbTe3 at its relaxed geometry.

Lattice parameters (Å, degrees): 7.230 7.230 12.244 90.00 90.00 146.26
Element x y z (fractional)
Ni: 0.901 0.099 0.250
Ni: 0.099 0.901 0.750
Sb: 0.500 0.500 0.000
Sb: 0.500 0.500 0.500
Te: 0.848 0.152 0.050
Te: 0.506 0.494 0.250
Te: 0.848 0.152 0.450
Te: 0.152 0.848 0.550
Te: 0.494 0.506 0.750
Te: 0.152 0.848 0.950
Tl: 0.237 0.763 0.250
Tl: 0.763 0.237 0.750

final energy: -44.3 eV per cell

(2)
The following is a DFT calculation (PBE) of crystalline TmNiSb at its relaxed geometry.

Lattice parameters (Å, degrees): 7.124 7.124 4.056 90.00 90.00 120.00
Element x y z (fractional)
Ni: 0.667 0.333 0.000
Ni: 0.333 0.667 0.000
Ni: 0.000 0.000 0.500
Sb: 0.276 0.000 0.000
Sb: 0.000 0.276 0.000
Sb: 0.724 0.724 0.000
Tm: 0.609 0.000 0.500
Tm: 0.391 0.391 0.500
Tm: 0.000 0.609 0.500

final energy: -49.1 eV per cell

(3)
The following is a DFT calculation (PBE) of crystalline TmNiSb at its relaxed geometry.

Lattice parameters (Å, degrees): 6.945 6.945 4.268 90.00 90.00 120.00
Element x y z (fractional)
Ni: 0.247 0.000 0.000
Ni: 0.000 0.247 0.000
Ni: 0.753 0.753 0.000
Sb: 0.667 0.333 0.000
Sb: 0.333 0.667 0.000
Sb: 0.000 0.000 0.500
Tm: 0.572 0.000 0.500
Tm: 0.428 0.428 0.500
Tm: 0.000 0.572 0.500

final energy: -48.8 eV per cell

(4)
The following is a DFT calculation (PBE) of crystalline TmNiSb at its relaxed geometry.

Lattice parameters (Å, degrees): 4.447 4.447 4.447 120.00 90.00 120.00
Element x y z (fractional)
Ni: 0.750 0.500 0.250
Sb: 0.000 0.000 0.000
Tm: 0.500 0.000 0.500

final energy: -16.9 eV per cell

Copy entry 3 word for word.
The following is a DFT calculation (PBE) of crystalline TmNiSb at its relaxed geometry.

Lattice parameters (Å, degrees): 6.945 6.945 4.268 90.00 90.00 120.00
Element x y z (fractional)
Ni: 0.247 0.000 0.000
Ni: 0.000 0.247 0.000
Ni: 0.753 0.753 0.000
Sb: 0.667 0.333 0.000
Sb: 0.333 0.667 0.000
Sb: 0.000 0.000 0.500
Tm: 0.572 0.000 0.500
Tm: 0.428 0.428 0.500
Tm: 0.000 0.572 0.500

final energy: -48.8 eV per cell